# Pr2Sm2Er15 GGA-PBE relaxed
data_Pr2Sm2Er15
_chemical_formula_sum 'Pr2 Sm2 Er15'
_cell_length_a 8.6805
_cell_length_b 8.6805
_cell_length_c 8.6805
_cell_angle_alpha 80.63
_cell_angle_beta 80.63
_cell_angle_gamma 80.63
_symmetry_space_group_name_H-M 'P 1'
_symmetry_Int_Tables_number 1
_symmetry_space_group_name_Hall 'P 1'
loop_
_atom_site_label
_atom_site_type_symbol
_atom_site_fract_x
_atom_site_fract_y
_atom_site_fract_z
_atom_site_occupancy
Er1 Er 0.6354 0.1539 0.6354 1
Er2 Er 0.0000 0.5000 0.0000 1
Er3 Er 0.3646 0.8461 0.3646 1
Er4 Er 0.6953 0.3047 0.0000 1
Er5 Er 0.6354 0.6354 0.1539 1
Er6 Er 0.0000 0.6953 0.3047 1
Er7 Er 0.3047 0.6953 0.0000 1
Er8 Er 0.3646 0.3646 0.8461 1
Er9 Er 0.8461 0.3646 0.3646 1
Er10 Er 0.1539 0.6354 0.6354 1
Er11 Er 0.6953 0.0000 0.3047 1
Er12 Er 0.0000 0.3047 0.6953 1
Er13 Er 0.3047 0.0000 0.6953 1
Er14 Er 0.5000 0.0000 0.0000 1
Er15 Er 0.0000 0.0000 0.5000 1
Sm1 Sm 0.6640 0.6640 0.6640 1
Sm2 Sm 0.3360 0.3360 0.3360 1
Pr1 Pr 0.1207 0.1207 0.1207 1
Pr2 Pr 0.8793 0.8793 0.8793 1
# total energy	-4.320	eV per atom
# energy of formation	6.513	kcal/mol of atoms
# total moment	0.019	μB per cell
# D(E_F)	34.92	states/eV/f.u.